one | VASP calculation (PBE) on an optimized crystal structure of AsP2SeO.

Cell lengths 4.8497, 4.8497, 3.6696 Å; angles 90.00, 90.00, 90.00 degrees
Closest atoms and distances in Å follow each position.
Element x y z (fractional)
1 P 0.5000 0.0000 0.0000  2 As 2.42
2 P 0.0000 0.5000 0.0000  2 As 2.42
3 As 0.0000 0.0000 0.0000  2 O 1.83
4 O 0.0000 0.0000 0.5000  2 As 1.83
5 Se 0.5000 0.5000 0.5000  8 P 3.04

Results
For the calculated density, the calculation gives 4.46 g/cm3. The value obtained for the total magnetization is 0.00 μB/f.u. The symmetry is P4/mmm.

***

two | VASP calculation (PBE) on an optimized crystal structure of AsP2SeO.

Cell lengths 4.8627, 4.8627, 3.6907 Å; angles 90.00, 90.00, 90.00 degrees
Closest atoms and distances in Å follow each position.
Element x y z (fractional)
1 As 0.5000 0.5000 0.5000  8 P 3.05
2 P 0.5000 0.0000 0.0000  2 Se 2.43
3 P 0.0000 0.5000 0.0000  2 Se 2.43
4 O 0.0000 0.0000 0.5000  2 Se 1.85
5 Se 0.0000 0.0000 0.0000  2 O 1.85

Results
For the calculated density, the calculation gives 4.41 g/cm3. The value obtained for the total magnetization is 0.00 μB/f.u. The symmetry is P4/mmm.

***

Each structure's energy above the most stable one, in meV/atom: one 0; two 162.

***

one | VASP calculation (PBE) on an optimized crystal structure of AsPSeO2.

Cell lengths 3.6327, 3.6327, 5.7512 Å; angles 90.00, 90.00, 90.00 degrees
Closest atoms and distances in Å follow each position.
Element x y z (fractional)
1 As 0.0000 0.0000 0.0000  4 O 1.82
2 O 0.0000 0.5000 0.0000  2 As 1.82
3 O 0.5000 0.0000 0.0000  2 As 1.82
4 Se 0.5000 0.5000 0.5000  4 P 2.57
5 P 0.0000 0.0000 0.5000  4 Se 2.57, 2 As 2.88

Results
For the calculated density, the calculation gives 4.74 g/cm3. The value obtained for the total magnetization is 0.00 μB/f.u. The symmetry is P4/mmm.

***

two | VASP calculation (PBE) on an optimized crystal structure of AsPSeO2.

Cell lengths 3.8207, 3.8207, 5.0307 Å; angles 90.00, 90.00, 90.00 degrees
Closest atoms and distances in Å follow each position.
Element x y z (fractional)
1 Se 0.0000 0.0000 0.0000  4 O 1.91
2 As 0.5000 0.5000 0.5000  4 P 2.70
3 O 0.5000 0.0000 0.0000  2 Se 1.91
4 O 0.0000 0.5000 0.0000  2 Se 1.91
5 P 0.0000 0.0000 0.5000  2 Se 2.52, 4 As 2.70

Results
For the calculated density, the calculation gives 4.90 g/cm3. The value obtained for the total magnetization is 0.05 μB/f.u. The symmetry is P4/mmm.

***

Each structure's energy above the most stable one, in meV/atom: one 0; two 356.

***

one | VASP calculation (PBE) on an optimized crystal structure of SnAsPO2.

Cell lengths 3.8987, 3.8987, 4.8562 Å; angles 90.00, 90.00, 90.00 degrees
Closest atoms and distances in Å follow each position.
Element x y z (fractional)
1 O 0.0000 0.5000 0.0000  2 As 1.95
2 O 0.5000 0.0000 0.0000  2 As 1.95
3 As 0.0000 0.0000 0.0000  4 O 1.95
4 P 0.0000 0.0000 0.5000  2 As 2.43
5 Sn 0.5000 0.5000 0.5000  4 P 2.76

Results
For the calculated density, the calculation gives 5.77 g/cm3. The value obtained for the total magnetization is 0.00 μB/f.u. The symmetry is P4/mmm.

***

two | VASP calculation (PBE) on an optimized crystal structure of SnAsPO2.

Cell lengths 3.9496, 3.9496, 5.3680 Å; angles 90.00, 90.00, 90.00 degrees
Closest atoms and distances in Å follow each position.
Element x y z (fractional)
1 As 0.5000 0.5000 0.5000  4 P 2.79
2 O 0.5000 0.0000 0.0000  2 Sn 1.97
3 O 0.0000 0.5000 0.0000  2 Sn 1.97
4 P 0.0000 0.0000 0.5000  2 Sn 2.68, 4 As 2.79
5 Sn 0.0000 0.0000 0.0000  4 O 1.97

Results
For the calculated density, the calculation gives 5.09 g/cm3. The value obtained for the total magnetization is 0.00 μB/f.u. The symmetry is P4/mmm.

***

Each structure's energy above the most stable one, in meV/atom: one 0; two 220.